Entry 1:
DFT (PBE) results for a relaxed structure of Pm3NdRh.

Properties
Polymorph energy (0 for the lowest one): 0.036 eV per atom
Spin magnetization: 0.00 μB/cell
Space group: No. 12

Cell lengths 6.6949, 7.0692, 7.0692 Å; angles 90.35, 74.91, 74.91 degrees
Last column: nearest neighbours and their distance in Å.
Element x y z (fractional)
Pm 0.7735 0.4314 0.4314  2 Rh 3.00-3.01
Pm 0.2265 0.5686 0.5686  2 Rh 3.00-3.01
Nd 0.2249 0.0694 0.0694  2 Rh 3.03-3.04
Pm 0.7718 0.9314 0.4315  2 Rh 3.02-3.03, 1 Pm 3.38
Nd 0.7751 0.9306 0.9306  2 Rh 3.03-3.04
Rh 0.5006 0.2512 0.2512  6 Pm 3.00-3.03, 2 Nd 3.03-3.04
Pm 0.2282 0.0686 0.5685  2 Rh 3.02-3.03, 1 Pm 3.38
Pm 0.7718 0.4315 0.9314  2 Rh 3.02-3.03, 1 Pm 3.38
Rh 0.4994 0.7488 0.7488  6 Pm 3.00-3.03, 2 Nd 3.03-3.04
Pm 0.2282 0.5685 0.0686  2 Rh 3.02-3.03, 1 Pm 3.38


Entry 2:
DFT (PBE) results for a relaxed structure of Pm2NdRh9.

Properties
Spin magnetization: 0.00 μB/cell
Space group: No. 166

Cell lengths 5.3188, 5.3188, 9.3627 Å; angles 73.50, 73.50, 60.00 degrees
Last column: nearest neighbours and their distance in Å.
Element x y z (fractional)
Nd 0.0000 0.0000 0.0000  18 Rh 3.07-3.43
Pm 0.8610 0.8610 0.4169  12 Rh 3.06-3.36, 3 Pm 3.40
Pm 0.1390 0.1390 0.5831  12 Rh 3.06-3.36, 3 Pm 3.40
Rh 0.6672 0.6672 0.9984  6 Rh 2.65-2.67
Rh 0.0826 0.5815 0.7543  7 Rh 2.65-2.72
Rh 0.5000 0.5000 0.5000  6 Rh 2.72
Rh 0.4185 0.9174 0.2457  7 Rh 2.65-2.72
Rh 0.4185 0.4185 0.2457  7 Rh 2.65-2.72
Rh 0.5815 0.5815 0.7543  7 Rh 2.65-2.72
Rh 0.9174 0.4185 0.2457  7 Rh 2.65-2.72
Rh 0.5815 0.0826 0.7543  7 Rh 2.65-2.72
Rh 0.3328 0.3328 0.0016  6 Rh 2.65-2.67


Summary of formation energy from the elements in eV/atom
-0.220; -0.519
(order as listed above)